A geometry-optimized Ba4In3Sn structure, computed with PBE.

magnetic moment = 0.00 μB/f.u.
energy of formation = -0.472 eV per atom

a = 4.9538 Å, b = 5.1010 Å, c = 13.1973 Å
α = 90.00°, β = 90.00°, γ = 90.00°
Space group Pmm2 (No. 25)
One atom of each set of equivalent atoms:
Ba: 0.0000 0.0000 0.0000 [1 per cell]
Ba: 0.0000 0.5000 0.4914 [1 per cell]
Ba: 0.5000 0.0000 0.7115 [1 per cell]
Ba: 0.5000 0.5000 0.2150 [1 per cell]
In: 0.0000 0.5000 0.7887 [1 per cell]
In: 0.5000 0.0000 0.4225 [1 per cell]
In: 0.5000 0.5000 0.9207 [1 per cell]
Sn: 0.0000 0.0000 0.2840 [1 per cell]

A geometry-optimized Sr3InPd2 structure, computed with PBE.

magnetic moment = 0.00 μB/f.u.
energy of formation = -0.502 eV per atom

a = 9.2377 Å, b = 8.9404 Å, c = 12.0849 Å
α = 90.00°, β = 128.84°, γ = 90.00°
Space group P2_1/c (No. 14)
One atom of each set of equivalent atoms:
Sr: 0.2131 0.1979 0.1597 [4 per cell]
Sr: 0.2395 0.5231 0.9575 [4 per cell]
Sr: 0.2533 0.5358 0.4049 [4 per cell]
In: 0.3211 0.7105 0.7190 [4 per cell]
Pd: 0.0006 0.2288 0.8147 [4 per cell]
Pd: 0.4590 0.5008 0.2725 [4 per cell]

A geometry-optimized LiAlC structure, computed with PBE.

magnetic moment = 0.00 μB/f.u.
energy of formation = 0.132 eV per atom

a = 3.0417 Å, b = 4.5494 Å, c = 5.5962 Å
α = 90.04°, β = 105.48°, γ = 109.53°
Space group P-1 (No. 2)
One atom of each set of equivalent atoms:
Li: 0.0846 0.3040 0.3652 [2 per cell]
Al: 0.2943 0.2215 0.8723 [2 per cell]
C: 0.3956 0.8925 0.3960 [2 per cell]

A geometry-optimized ZnRe2PbC structure, computed with PBE.

magnetic moment = 1.55 μB/f.u.
energy of formation = 2.211 eV per atom

a = 4.8619 Å, b = 4.8619 Å, c = 3.5747 Å
α = 90.00°, β = 90.00°, γ = 90.00°
Space group P4/mmm (No. 123)
One atom of each set of equivalent atoms:
Zn: 0.0000 0.0000 0.0000 [1 per cell]
Re: 0.0000 0.5000 0.0000 [2 per cell]
Pb: 0.5000 0.5000 0.5000 [1 per cell]
C: 0.0000 0.0000 0.5000 [1 per cell]

A geometry-optimized LiTcRu2 structure, computed with PBE.

energy above the most stable polymorph in this dataset = 0.33 eV/f.u.
magnetic moment = 0.00 μB/f.u.
energy of formation = 0.180 eV per atom

a = 2.7041 Å, b = 3.9604 Å, c = 5.0588 Å
α = 90.00°, β = 90.09°, γ = 90.00°
Space group Pm (No. 6)
One atom of each set of equivalent atoms:
Li: 0.0000 0.0000 0.0000 [1 per cell]
Tc: 0.4999 0.5000 0.7487 [1 per cell]
Ru: 0.0007 0.0000 0.4986 [1 per cell]
Ru: 0.5002 0.5000 0.2166 [1 per cell]

A geometry-optimized Be4CdHg structure, computed with PBE.

magnetic moment = 0.00 μB/f.u.
energy of formation = 0.359 eV per atom

a = 6.7069 Å, b = 6.7069 Å, c = 6.7069 Å
α = 90.00°, β = 90.00°, γ = 90.00°
Space group F-43m (No. 216)
One atom of each set of equivalent atoms:
Be: 0.1244 0.1244 0.1244 [16 per cell]
Cd: 0.2500 0.2500 0.7500 [4 per cell]
Hg: 0.0000 0.0000 0.5000 [4 per cell]

A geometry-optimized Pm4GaSe2S structure, computed with PBE.

E_form (uncorrected) = -1.588 eV per atom
magnetic moment = 0.00 μB/f.u.

a = 7.2439 Å, b = 4.1453 Å, c = 7.3201 Å
α = 90.00°, β = 109.03°, γ = 90.00°
Space group P2/m (No. 10)
One atom of each set of equivalent atoms:
Pm: 0.2453 0.0000 0.2370 [2 per cell]
Pm: 0.2500 0.5000 0.7560 [2 per cell]
Ga: 0.5000 0.0000 0.0000 [1 per cell]
Se: 0.0000 0.0000 0.5000 [1 per cell]
Se: 0.5000 0.5000 0.5000 [1 per cell]
S: 0.0000 0.5000 0.0000 [1 per cell]

A geometry-optimized Sm5Bi4H structure, computed with PBE.

VASP energy = -98.56 eV for the cell shown
magnetic moment = 0.00 μB/f.u.

a = 9.9793 Å, b = 9.9793 Å, c = 6.3964 Å
α = 90.00°, β = 90.00°, γ = 90.00°
Space group I4 (No. 79)
One atom of each set of equivalent atoms:
Sm: 0.0000 0.0000 0.0000 [2 per cell]
Sm: 0.1023 0.2994 0.4147 [8 per cell]
Bi: 0.0972 0.2983 0.9147 [8 per cell]
H: 0.0000 0.0000 0.3599 [2 per cell]

A geometry-optimized MnV2Co3 structure, computed with PBE.

magnetic moment = 2.73 μB/f.u.
energy of formation = -0.057 eV per atom

a = 12.3193 Å, b = 3.7307 Å, c = 7.6450 Å
α = 90.00°, β = 128.08°, γ = 90.00°
Space group C2/m (No. 12)
One atom of each set of equivalent atoms:
Mn: 0.0855 0.0000 0.2185 [4 per cell]
V: 0.0702 0.5000 0.9149 [4 per cell]
V: 0.2404 0.5000 0.3508 [4 per cell]
Co: 0.0815 0.0000 0.6963 [4 per cell]
Co: 0.0951 0.5000 0.4872 [4 per cell]
Co: 0.2351 0.0000 0.1000 [4 per cell]

A geometry-optimized SiAg2TeS4 structure, computed with PBE.

E_form (uncorrected) = -0.226 eV per atom
magnetic moment = 0.00 μB/f.u.

a = 6.3458 Å, b = 6.3554 Å, c = 6.4202 Å
α = 104.86°, β = 108.42°, γ = 109.11°
Space group P1 (No. 1)
One atom of each set of equivalent atoms:
Si: 0.0000 0.0000 0.0000 [1 per cell]
Ag: 0.5889 0.0403 0.3212 [1 per cell]
Ag: 0.6196 0.3587 0.0466 [1 per cell]
Te: 0.2198 0.5555 0.9328 [1 per cell]
S: 0.0157 0.7507 0.7116 [1 per cell]
S: 0.3553 0.2863 0.2655 [1 per cell]
S: 0.8089 0.1814 0.8132 [1 per cell]
S: 0.8207 0.8352 0.1828 [1 per cell]

A geometry-optimized MnAl3Br structure, computed with PBE.

E_form (uncorrected) = 1.127 eV per atom
energy above the most stable polymorph in this dataset = 4.10 eV/f.u.
magnetic moment = 4.12 μB/f.u.

a = 5.1492 Å, b = 5.1492 Å, c = 5.1492 Å
α = 90.00°, β = 90.00°, γ = 90.00°
Space group Pm-3m (No. 221)
One atom of each set of equivalent atoms:
Mn: 0.0000 0.0000 0.0000 [1 per cell]
Al: 0.0000 0.5000 0.5000 [3 per cell]
Br: 0.5000 0.5000 0.5000 [1 per cell]

A geometry-optimized Ho4AsSe2 structure, computed with PBE.

E_form (uncorrected) = -1.354 eV per atom
magnetic moment = 0.00 μB/f.u.

a = 3.9292 Å, b = 13.0315 Å, c = 13.6700 Å
α = 90.00°, β = 90.00°, γ = 90.00°
Space group Cmcm (No. 63)
One atom of each set of equivalent atoms:
Ho: 0.0000 0.0000 0.0000 [4 per cell]
Ho: 0.0000 0.2846 0.1272 [8 per cell]
Ho: 0.0000 0.4400 0.7500 [4 per cell]
As: 0.0000 0.0991 0.7500 [4 per cell]
Se: 0.0000 0.3586 0.5632 [8 per cell]

A geometry-optimized Sc2TlRe structure, computed with PBE.

magnetic moment = 0.00 μB/f.u.
energy of formation = 0.168 eV per atom

a = 3.2541 Å, b = 3.2541 Å, c = 30.3697 Å
α = 90.00°, β = 90.00°, γ = 120.00°
Space group R-3m (No. 166, hexagonal axes)
One atom of each set of equivalent atoms:
Sc: 0.0000 0.0000 0.1025 [6 per cell]
Tl: 0.0000 0.0000 0.0000 [3 per cell]
Re: 0.0000 0.0000 0.5000 [3 per cell]

A geometry-optimized Tb6Nd3Sm2Pb structure, computed with PBE.

magnetic moment = 0.00 μB/f.u.
energy of formation = -0.062 eV per atom

a = 6.1850 Å, b = 10.7213 Å, c = 11.8312 Å
α = 90.00°, β = 100.15°, γ = 90.00°
Space group C2/m (No. 12)
One atom of each set of equivalent atoms:
Tb: 0.2445 0.0000 0.2526 [4 per cell]
Tb: 0.2446 0.1631 0.7457 [8 per cell]
Nd: 0.0000 0.1684 0.0000 [4 per cell]
Nd: 0.0000 0.5000 0.0000 [2 per cell]
Sm: 0.0000 0.3342 0.5000 [4 per cell]
Pb: 0.0000 0.0000 0.5000 [2 per cell]

A geometry-optimized BaHo3B4S12 structure, computed with PBE.

E_form (uncorrected) = -1.077 eV per atom
magnetic moment = 0.00 μB/f.u.

a = 12.6661 Å, b = 12.6661 Å, c = 10.6767 Å
α = 90.00°, β = 90.00°, γ = 120.00°
Space group R32 (No. 155, hexagonal axes)
One atom of each set of equivalent atoms:
Ba: 0.0000 0.0000 0.0000 [3 per cell]
Ho: 0.0000 0.5401 0.0000 [9 per cell]
B: 0.0000 0.0000 0.5000 [3 per cell]
B: 0.0000 0.4569 0.5000 [9 per cell]
S: 0.0000 0.6013 0.5000 [9 per cell]
S: 0.0000 0.8565 0.5000 [9 per cell]
S: 0.0142 0.2027 0.1868 [18 per cell]

A geometry-optimized CeMgTl2 structure, computed with PBE.

magnetic moment = 1.49 μB/f.u.
energy of formation = -0.160 eV per atom

a = 3.6650 Å, b = 3.6650 Å, c = 7.8697 Å
α = 90.00°, β = 90.00°, γ = 90.00°
Space group P4/mmm (No. 123)
One atom of each set of equivalent atoms:
Ce: 0.0000 0.0000 0.0000 [1 per cell]
Mg: 0.0000 0.0000 0.5000 [1 per cell]
Tl: 0.5000 0.5000 0.2773 [2 per cell]

A geometry-optimized Tb3Ga8Cu3 structure, computed with PBE.

energy above the most stable polymorph in this dataset = 0.23 eV/f.u.
magnetic moment = 0.00 μB/f.u.
energy of formation = -0.468 eV per atom

a = 15.6345 Å, b = 4.2488 Å, c = 9.5566 Å
α = 90.00°, β = 127.17°, γ = 90.00°
Space group C2/m (No. 12)
One atom of each set of equivalent atoms:
Tb: 0.0000 0.0000 0.0000 [2 per cell]
Tb: 0.1954 0.5000 0.6863 [4 per cell]
Ga: 0.9995 0.5000 0.3068 [4 per cell]
Ga: 0.1446 0.0000 0.8625 [4 per cell]
Ga: 0.1471 0.0000 0.4222 [4 per cell]
Ga: 0.1545 0.5000 0.0410 [4 per cell]
Cu: 0.0000 0.0000 0.5000 [2 per cell]
Cu: 0.1552 0.5000 0.2967 [4 per cell]

A geometry-optimized Rb3Pu3RhS8 structure, computed with PBE.

E_form (uncorrected) = -1.268 eV per atom
magnetic moment = 4.72 μB/f.u.

a = 13.7406 Å, b = 7.9090 Å, c = 9.0518 Å
α = 90.00°, β = 120.33°, γ = 90.00°
Space group C2/m (No. 12)
One atom of each set of equivalent atoms:
Rb: 0.0000 0.0000 0.0000 [2 per cell]
Rb: 0.2500 0.2500 0.0000 [4 per cell]
Pu: 0.0000 0.5000 0.5000 [2 per cell]
Pu: 0.2500 0.2500 0.5000 [4 per cell]
Rh: 0.0000 0.0000 0.5000 [2 per cell]
S: 0.0177 0.2292 0.3243 [8 per cell]
S: 0.2112 0.0000 0.6742 [4 per cell]
S: 0.2321 0.5000 0.6938 [4 per cell]

A geometry-optimized Nd5Y5Tm structure, computed with PBE.

magnetic moment = 0.99 μB/f.u.
energy of formation = 0.262 eV per atom

a = 18.8424 Å, b = 6.0881 Å, c = 6.9894 Å
α = 90.00°, β = 109.62°, γ = 90.00°
Space group C2/m (No. 12)
One atom of each set of equivalent atoms:
Nd: 0.0000 0.0000 0.0000 [2 per cell]
Nd: 0.1254 0.5000 0.1385 [4 per cell]
Nd: 0.1719 0.5000 0.6840 [4 per cell]
Y: 0.0000 0.5000 0.5000 [2 per cell]
Y: 0.1743 0.0000 0.4229 [4 per cell]
Y: 0.1770 0.0000 0.9166 [4 per cell]
Tm: 0.0000 0.0000 0.5000 [2 per cell]

A geometry-optimized Ca2Sn2Os structure, computed with PBE.

energy above the most stable polymorph in this dataset = 0.00 eV/f.u.
magnetic moment = 0.00 μB/f.u.
energy of formation = -0.174 eV per atom

a = 7.1475 Å, b = 7.1475 Å, c = 4.8685 Å
α = 90.00°, β = 90.00°, γ = 90.00°
Space group P4/mbm (No. 127)
One atom of each set of equivalent atoms:
Ca: 0.1743 0.3257 0.0000 [4 per cell]
Sn: 0.1451 0.6451 0.5000 [4 per cell]
Os: 0.0000 0.0000 0.5000 [2 per cell]

A geometry-optimized NiSeBr3 structure, computed with PBE.

E_form (uncorrected) = 0.298 eV per atom
energy above the most stable polymorph in this dataset = 2.34 eV/f.u.
magnetic moment = 0.00 μB/f.u.

a = 4.8788 Å, b = 4.8788 Å, c = 4.8788 Å
α = 90.00°, β = 90.00°, γ = 90.00°
Space group Pm-3m (No. 221)
One atom of each set of equivalent atoms:
Ni: 0.0000 0.0000 0.0000 [1 per cell]
Se: 0.5000 0.5000 0.5000 [1 per cell]
Br: 0.0000 0.0000 0.5000 [3 per cell]

A geometry-optimized InSn3Te6Pb2 structure, computed with PBE.

E_form (uncorrected) = -0.315 eV per atom
magnetic moment = 0.00 μB/f.u.

a = 19.8464 Å, b = 4.5386 Å, c = 9.1151 Å
α = 90.00°, β = 103.02°, γ = 90.00°
Space group C2/m (No. 12)
One atom of each set of equivalent atoms:
In: 0.0000 0.0000 0.0000 [2 per cell]
Sn: 0.0000 0.0000 0.5000 [2 per cell]
Sn: 0.1678 0.5000 0.8344 [4 per cell]
Te: 0.0017 0.5000 0.7511 [4 per cell]
Te: 0.1644 0.0000 0.5882 [4 per cell]
Te: 0.1662 0.0000 0.0775 [4 per cell]
Pb: 0.1656 0.5000 0.3329 [4 per cell]

A geometry-optimized KPdN2O structure, computed with PBE.

E_form (uncorrected) = 2.925 eV per atom
magnetic moment = 0.00 μB/f.u.

a = 4.3885 Å, b = 4.3885 Å, c = 4.2074 Å
α = 90.00°, β = 90.00°, γ = 90.00°
Space group P4/mmm (No. 123)
One atom of each set of equivalent atoms:
K: 0.0000 0.0000 0.0000 [1 per cell]
Pd: 0.5000 0.5000 0.5000 [1 per cell]
N: 0.0000 0.5000 0.0000 [2 per cell]
O: 0.0000 0.0000 0.5000 [1 per cell]